# 1
# KCaGa2Pt

Crystalline KCaGa2Pt at its relaxed geometry (PBE, the Alexandria database).

abc: 4.9754 4.9754 5.5132
angles: 90.00 90.00 90.00
Positions (direct):
Ga1 0.5000 0.0000 0.0000
Ga2 0.0000 0.5000 0.0000
K1 0.5000 0.5000 0.5000
Pt1 0.0000 0.0000 0.0000
Ca1 0.0000 0.0000 0.5000

---

# 2
# NaSr3Hf

Crystalline NaSr3Hf at its relaxed geometry (PBE, the Alexandria database).

abc: 6.1314 6.1314 6.1314
angles: 90.00 90.00 90.00
Site moments in Bohr magnetons follow the coordinates.
Positions (direct):
Sr1 0.0000 0.5000 0.0000  0.05
Sr2 0.5000 0.0000 0.0000  0.06
Sr3 0.0000 0.0000 0.5000  0.06
Na1 0.0000 0.0000 0.0000  -0.01
Hf1 0.5000 0.5000 0.5000  1.15

## Properties
The energy above the lowest structure with this stoichiometry comes out at 238 meV per atom.

---

# 3
# Ag6HgAu2

Crystalline Ag6HgAu2 at its relaxed geometry (PBE, the Alexandria database).

abc: 9.1794 7.7421 7.7421
angles: 66.35 53.47 53.47
Positions (direct):
Ag1 0.4587 0.8140 0.5743
Ag2 0.9587 0.5743 0.8140
Ag3 0.9394 0.0856 0.3351
Ag4 0.0413 0.4257 0.1860
Ag5 0.8451 0.2279 0.9709
Ag6 0.5413 0.1860 0.4257
Ag7 0.4394 0.3351 0.0856
Ag8 0.5606 0.6649 0.9144
Ag9 0.1549 0.7721 0.0291
Ag10 0.6549 0.0291 0.7721
Ag11 0.0606 0.9144 0.6649
Ag12 0.3451 0.9709 0.2279
Au1 0.6361 0.5276 0.2754
Au2 0.8639 0.7246 0.4724
Au3 0.3639 0.4724 0.7246
Au4 0.1361 0.2754 0.5276
Hg1 0.7500 0.8762 0.1238
Hg2 0.2500 0.1238 0.8762

## Properties
The energy above the lowest structure with this stoichiometry comes out at 43 meV per atom.

---

# 4
# Nd2PuGe3Ir4

Crystalline Nd2PuGe3Ir4 at its relaxed geometry (PBE, the Alexandria database).

abc: 4.2374 4.2374 11.0763
angles: 90.00 90.00 90.00
Site moments in Bohr magnetons follow the coordinates.
Positions (direct):
Ir1 0.5000 0.0000 0.6539  -0.11
Ir2 0.0000 0.5000 0.3461  -0.11
Ir3 0.5000 0.5000 0.0000  0.00
Ir4 0.0000 0.0000 0.0000  -0.01
Pu1 0.5000 0.5000 0.5000  4.82
Ge1 0.0000 0.0000 0.5000  -0.04
Ge2 0.5000 0.0000 0.8773  0.00
Ge3 0.0000 0.5000 0.1227  0.00
Nd1 0.0000 0.5000 0.7696  0.03
Nd2 0.5000 0.0000 0.2304  0.03

---

# 5
# TaOs2Pt

Crystalline TaOs2Pt at its relaxed geometry (PBE, the Alexandria database).

abc: 4.8401 4.8400 4.8425
angles: 132.03 132.04 70.15
Positions (direct):
Os1 0.9999 0.0002 0.0000
Os2 0.7499 0.2501 0.5000
Ta1 0.2503 0.7498 0.5001
Pt1 0.5000 0.5000 0.0000

## Properties
The energy above the lowest structure with this stoichiometry comes out at 75 meV per atom.

---

# 6
# Hf3FeHg

Crystalline Hf3FeHg at its relaxed geometry (PBE, the Alexandria database).

abc: 4.7702 4.7702 4.7702
angles: 90.00 90.00 90.00
Positions (direct):
Hf1 0.0000 0.0000 0.5000
Hf2 0.0000 0.5000 0.0000
Hf3 0.5000 0.0000 0.0000
Hg1 0.5000 0.5000 0.5000
Fe1 0.0000 0.0000 0.0000

## Properties
The energy above the lowest structure with this stoichiometry comes out at 295 meV per atom.

---

Number 1: Fermi-level density of states 3.05 states/eV/cell, total energy -16.9 eV for the cell shown, density 5034 kg/m3. Number 2: Fermi-level density of states 6.02 states/eV/cell, total energy -11.2 eV for the cell shown, density 3345 kg/m3. Number 3: Fermi-level density of states 4.13 states/eV/cell, total energy -46.6 eV for the cell shown, density 11638 kg/m3. Number 4: Fermi-level density of states 7.14 states/eV/cell, total energy -80.4 eV for the cell shown, density 12685 kg/m3. Number 5: Fermi-level density of states 2.44 states/eV/cell, total energy -41.5 eV for the cell shown, density 20475 kg/m3. Number 6: Fermi-level density of states 7.74 states/eV/cell, total energy -37.6 eV for the cell shown, density 12115 kg/m3.